The following is a GGA+U calculation of a relaxed structure of TaMnO4, from Alexandria via LeMat-Bulk.

a = 5.024 Å, b = 4.662 Å, c = 5.610 Å
α = 90.00°, β = 90.00°, γ = 90.00°
Fractional coordinates of all 12 atoms:
Ta: 0.000 0.000 0.000
Ta: 0.000 0.500 0.500
Mn: 0.500 0.000 0.677
Mn: 0.500 0.500 0.177
O: 0.167 0.223 0.705
O: 0.167 0.277 0.205
O: 0.325 0.728 0.437
O: 0.325 0.772 0.937
O: 0.675 0.228 0.937
O: 0.675 0.272 0.437
O: 0.833 0.723 0.205
O: 0.833 0.777 0.705

Values from the calculation:
- space group = Pnc2, No. 30
- total energy (eV/cell) = -103.5